First-principles (meta-GGA SCAN) data for a PBEsol-optimized structure of BaHg2W, as listed in Alexandria.

Properties
DFT total energy	-60.425	eV/atom
formation enthalpy at 0 K	93.4	kJ per mole of atoms
excess energy over the best structure of this formula in the dataset	0.339	eV per atom
spin magnetization	0.72	μB/atom

a = 4.491 Å, b = 4.491 Å, c = 5.841 Å
α = 112.61°, β = 112.61°, γ = 90.00°
Fractional positions:
Hg 0.000 0.000 0.000
Hg 0.750 0.250 0.500
Ba 0.250 0.750 0.500
W 0.500 0.500 0.000